The following is a PBE calculation of a relaxed structure of Ac6HgRu2, from the Alexandria database.

Properties
Calculated total energy: -5.05 eV/atom
ρ: 8.557 g cm⁻³
N(E_F): 6.66 states/eV/cell
Magnetization: 0.000 μB per cell
Crystal system: monoclinic

```
9
Lattice="6.6343 -2.1477 0.0000 6.6343 2.1477 0.0000 -3.4873 0.0000 12.0172" Properties=species:S:1:pos:R:3 pbc="T T T"
Ac -0.6084 0.0000 3.3000
Ac 0.8886 0.0000 10.5736
Ac 2.9740 0.0000 5.0911
Ac 6.8072 0.0000 6.9262
Ac 8.8926 0.0000 1.4436
Ac 10.3896 0.0000 8.7173
Hg 0.0000 0.0000 0.0000
Ru 1.9611 0.0000 7.9772
Ru 7.8201 0.0000 4.0400
```

=====

The following is a PBE calculation of a relaxed structure of Ac7Hg3Ru2, from the Alexandria database.

Properties
Calculated total energy: -4.22 eV/atom
ρ: 9.111 g cm⁻³
N(E_F): 10.94 states/eV/cell
Magnetization: 0.000 μB per cell
Crystal system: orthorhombic

```
12
Lattice="2.8555 -13.8527 0.0000 2.8555 13.8527 0.0000 0.0000 0.0000 5.5128" Properties=species:S:1:pos:R:3 pbc="T T T"
Ac 0.0000 0.0000 0.0000
Ac 2.8555 11.1905 2.7564
Ac 2.8555 8.0394 0.0000
Ac 2.8555 3.1054 0.0000
Ac 2.8555 -3.1054 0.0000
Ac 2.8555 -8.0394 0.0000
Ac 2.8555 -11.1905 2.7564
Hg 2.8555 5.5516 2.7564
Hg 2.8555 0.0000 2.7564
Hg 2.8555 -5.5516 2.7564
Ru 2.8555 10.9341 0.0000
Ru 2.8555 -10.9341 0.0000
```

=====

The following is a PBE calculation of a relaxed structure of AcTbHgRu, from the Alexandria database.

Properties
Calculated total energy: -4.77 eV/atom
ρ: 11.056 g cm⁻³
N(E_F): 3.37 states/eV/cell
Magnetization: 0.000 μB per cell
Crystal system: cubic

```
4
Lattice="0.0000 3.7238 3.7238 3.7238 0.0000 3.7238 3.7238 3.7238 0.0000" Properties=species:S:1:pos:R:3 pbc="T T T"
Ac 0.0000 0.0000 0.0000
Tb 3.7238 3.7238 3.7238
Hg 5.5857 5.5857 5.5857
Ru 1.8619 1.8619 1.8619
```

=====

Which of these has the highest N(E_F)?
Ac7Hg3Ru2

=====

What is the N(E_F) in the third record?
3.37 states/eV/cell

=====

Copy entry 3 word for word.
The following is a PBE calculation of a relaxed structure of AcTbHgRu, from the Alexandria database.

Properties
Calculated total energy: -4.77 eV/atom
ρ: 11.056 g cm⁻³
N(E_F): 3.37 states/eV/cell
Magnetization: 0.000 μB per cell
Crystal system: cubic

```
4
Lattice="0.0000 3.7238 3.7238 3.7238 0.0000 3.7238 3.7238 3.7238 0.0000" Properties=species:S:1:pos:R:3 pbc="T T T"
Ac 0.0000 0.0000 0.0000
Tb 3.7238 3.7238 3.7238
Hg 5.5857 5.5857 5.5857
Ru 1.8619 1.8619 1.8619
```